Entry from the Alexandria database: crystalline EuZnPdAu at its relaxed geometry (PBE).

## Properties
The crystal system is cubic. For the density of states at the Fermi level, the calculation gives 12.62 states/eV/f.u. The value obtained for the energy of formation is -178 kJ/mol of formula units. As for the space group: No. 216. For the calculated total energy, the calculation gives -5.47 eV per atom.

Cell and atoms, written as POSCAR:
```
EuZnPdAu
1.0
0.000 3.443 3.443
3.443 0.000 3.443
3.443 3.443 0.000
Eu Zn Pd Au
1 1 1 1
Direct
0.000 0.000 0.000
0.500 0.500 0.500
0.250 0.250 0.250
0.750 0.750 0.750
```